# 1
{
  "formula": "Pm2ErS4",
  "functional": "PBE",
  "state": "optimized geometry",
  "raw_formation_energy_mev_per_atom": -1920,
  "vol_a3_per_fu": 193.9,
  "polymorph_energy_mev_per_atom": 107,
  "cell": [[-4.091, 4.091, 5.794], [4.091, -4.091, 5.794], [4.091, 4.091, -5.794]],
  "species": ["Pm", "Pm", "Pm", "Pm", "Er", "Er", "S", "S", "S", "S", "S", "S", "S", "S"],
  "frac_coords": [[0.000, 0.000, 0.000], [0.000, 0.000, 0.500], [0.000, 0.500, 0.000], [0.500, 0.000, 0.500], [0.375, 0.625, 0.750], [0.625, 0.375, 0.250], [0.237, 0.246, 0.992], [0.246, 0.237, 0.492], [0.246, 0.754, 0.008], [0.246, 0.754, 0.492], [0.754, 0.246, 0.508], [0.754, 0.246, 0.992], [0.754, 0.763, 0.508], [0.763, 0.754, 0.008]]
}

# 2
{
  "formula": "Ca3Ac4Nd2",
  "functional": "PBE",
  "state": "optimized geometry",
  "delta_e_f_ev_per_atom": 0.072,
  "vol_a3_per_fu": 371.0,
  "polymorph_energy_mev_per_atom": 0,
  "cell": [[6.513, -3.106, 0.000], [6.513, 3.106, 0.000], [-2.143, 0.000, 9.169]],
  "species": ["Ca", "Ca", "Ca", "Ac", "Ac", "Ac", "Ac", "Nd", "Nd"],
  "frac_coords": [[0.000, 0.000, 0.000], [0.101, 0.101, 0.665], [0.899, 0.899, 0.335], [0.230, 0.230, 0.341], [0.336, 0.336, 0.978], [0.664, 0.664, 0.022], [0.770, 0.770, 0.659], [0.460, 0.460, 0.666], [0.540, 0.540, 0.334]]
}

# 3
{
  "formula": "Ce5SiTc",
  "functional": "PBE",
  "state": "optimized geometry",
  "raw_formation_energy_mev_per_atom": -157,
  "vol_a3_per_fu": 170.0,
  "cell": [[4.496, -3.712, 0.000], [4.496, 3.712, 0.000], [-1.359, 0.000, 10.182]],
  "species": ["Ce", "Ce", "Ce", "Ce", "Ce", "Ce", "Ce", "Ce", "Ce", "Ce", "Si", "Si", "Tc", "Tc"],
  "frac_coords": [[0.009, 0.477, 0.863], [0.052, 0.948, 0.750], [0.221, 0.528, 0.472], [0.472, 0.779, 0.028], [0.477, 0.009, 0.363], [0.523, 0.991, 0.637], [0.528, 0.221, 0.972], [0.779, 0.472, 0.528], [0.948, 0.052, 0.250], [0.991, 0.523, 0.137], [0.472, 0.528, 0.750], [0.528, 0.472, 0.250], [0.000, 0.000, 0.000], [0.000, 0.000, 0.500]]
}

# 4
{
  "formula": "Rb2ZrAl",
  "functional": "PBE",
  "state": "optimized geometry",
  "delta_e_f_ev_per_atom": 0.969,
  "vol_a3_per_fu": 237.0,
  "cell": [[-6.557, 6.557, 2.756], [6.557, -6.557, 2.756], [6.557, 6.557, -2.756]],
  "species": ["Rb", "Rb", "Rb", "Rb", "Zr", "Zr", "Al", "Al"],
  "frac_coords": [[0.375, 0.227, 0.352], [0.773, 0.125, 0.148], [0.875, 0.023, 0.648], [0.977, 0.625, 0.852], [0.250, 0.750, 0.500], [0.500, 0.500, 0.000], [0.000, 0.000, 0.000], [0.750, 0.250, 0.500]]
}

# 5
{
  "formula": "MgScPt2",
  "functional": "PBE",
  "state": "optimized geometry",
  "delta_e_f_ev_per_atom": -0.941,
  "vol_a3_per_fu": 69.1,
  "cell": [[4.923, -1.516, 0.000], [4.923, 1.516, 0.000], [-0.882, 0.000, 4.629]],
  "species": ["Mg", "Sc", "Pt", "Pt"],
  "frac_coords": [[0.000, 0.000, 0.000], [0.777, 0.777, 0.365], [0.260, 0.260, 0.860], [0.516, 0.516, 0.513]]
}

# 6
{
  "formula": "HoZrAgSn",
  "functional": "PBE",
  "state": "optimized geometry",
  "delta_e_f_ev_per_atom": -0.332,
  "vol_a3_per_fu": 91.6,
  "cell": [[0.000, 3.577, 3.577], [3.577, 0.000, 3.577], [3.577, 3.577, 0.000]],
  "species": ["Ho", "Zr", "Ag", "Sn"],
  "frac_coords": [[0.000, 0.000, 0.000], [0.500, 0.500, 0.500], [0.250, 0.250, 0.250], [0.750, 0.750, 0.750]]
}